P) DFT (PBE-GGA) results for Tb2Pm3Sm after structural relaxation.

Structure (POSCAR):
```
Tb2Pm3Sm
1.0
-0.3765 -2.0666 -6.9768
6.0929 -4.8762 6.8024
-5.0142 -2.3164 4.7586
Tb Pm Sm
4 6 2
direct
0.3042 0.6667 0.3605
0.3039 0.6665 0.8605
0.6961 0.3335 0.1395
0.6958 0.3333 0.6395
0.2526 0.0019 0.7508
0.7474 0.9981 0.2492
0.8053 0.6661 0.8611
0.1947 0.3342 0.6388
0.8053 0.6658 0.3612
0.1947 0.3339 0.1389
0.2527 0.0016 0.2508
0.7473 0.9984 0.7492
```

Results
* crystal system: triclinic
* magnetization: 0.00 μB/cell
* Fermi-level density of states: 7.4 states/eV/f.u.
* SG: P-1 (2)

Q) DFT (PBE-GGA) results for Tb2Pm3Sm after structural relaxation.

Structure (POSCAR):
```
Tb2Pm3Sm
1.0
-4.8505 -5.1520 -1.4813
4.4917 -4.3409 0.3900
0.7800 1.6347 9.4022
Tb Pm Sm
4 6 2
direct
0.7916 0.5827 0.3340
0.5424 0.0827 0.3340
0.4576 0.9173 0.6660
0.2084 0.4173 0.6660
0.6246 0.2500 0.0000
0.3754 0.7500 0.0000
0.0420 0.0834 0.3345
0.7074 0.4166 0.6655
0.2926 0.5834 0.3345
0.9580 0.9166 0.6655
0.8745 0.7500 0.0000
0.1255 0.2500 0.0000
```

Results
* crystal system: monoclinic
* magnetization: 0.00 μB/cell
* Fermi-level density of states: 8.3 states/eV/f.u.
* SG: C2/c (15)

The energetic minimum among the shown structures is P); the next structure lies 0.012 eV/atom above.